# 1
# BaAs2P

A relaxed BaAs2P crystal (PBEsol, Alexandria).

Calculated values
Calculated density: 5.54 Mg/m³
Raw total energy: -4.73 eV per atom
Formation energy: -0.196 eV/atom

Cell: 3.864 3.864 6.391 Å, 90.00 90.00 90.00°
Fractional coordinates of all 4 atoms:
As 0.000 0.000 0.028
As 0.500 0.500 0.151
P 0.500 0.500 0.793
Ba 0.000 0.000 0.527



# 2
# BaAsP2

A relaxed BaAsP2 crystal (PBEsol, Alexandria).

Calculated values
Calculated density: 5.20 Mg/m³
Raw total energy: -4.71 eV per atom
Formation energy: -0.001 eV/atom

Cell: 4.253 4.539 4.539 Å, 90.00 90.00 90.00°
Fractional coordinates of all 4 atoms:
As 0.500 0.500 0.500
P 0.000 0.500 0.000
P 0.000 0.000 0.500
Ba 0.500 0.000 0.000



# 3
# BaAsPb2

A relaxed BaAsPb2 crystal (PBEsol, Alexandria).

Calculated values
Calculated density: 8.69 Mg/m³
Raw total energy: -4.02 eV per atom
Formation energy: -0.208 eV/atom

Cell: 4.063 4.063 7.255 Å, 90.00 90.00 90.00°
Fractional coordinates of all 4 atoms:
Pb 0.000 0.000 0.801
Pb 0.000 0.000 0.199
As 0.500 0.500 0.000
Ba 0.500 0.500 0.500



# 4
# Ba2As2Pb

A relaxed Ba2As2Pb crystal (PBEsol, Alexandria).

Calculated values
Calculated density: 5.95 Mg/m³
Energy relative to the lowest polymorph listed for this composition: 249 kJ/mol of formula units
Raw total energy: -4.02 eV per atom
Formation energy: -0.323 eV/atom

Cell: 5.580 5.580 6.903 Å, 113.84 113.84 90.00°
Fractional coordinates of all 5 atoms:
Ba 0.750 0.250 0.500
Ba 0.250 0.750 0.500
As 0.605 0.605 0.211
As 0.395 0.395 0.789
Pb 0.000 0.000 0.000



# 5
# BaAsPb2

A relaxed BaAsPb2 crystal (PBEsol, Alexandria).

Calculated values
Calculated density: 8.23 Mg/m³
Raw total energy: -4.28 eV per atom
Formation energy: -0.466 eV/atom

Cell: 4.115 5.039 6.596 Å, 112.46 90.00 90.00°
Fractional coordinates of all 4 atoms:
Pb 0.000 0.042 0.084
Pb 0.500 0.455 0.909
Ba 0.500 0.737 0.475
As 0.000 0.280 0.560



# 6
# Ba2AsPb

A relaxed Ba2AsPb crystal (PBEsol, Alexandria).

Calculated values
Calculated density: 6.95 Mg/m³
Energy relative to the lowest polymorph listed for this composition: 0 kJ/mol of formula units
Raw total energy: -4.00 eV per atom
Formation energy: -0.645 eV/atom

Cell: 4.636 5.357 5.357 Å, 90.49 90.00 90.00°
Fractional coordinates of all 4 atoms:
Ba 0.000 0.000 0.500
Ba 0.000 0.500 0.000
Pb 0.500 0.500 0.500
As 0.500 0.000 0.000